# 1
LiMg3Ag: optimized geometry, PBE.

Cell: 3.438 5.708 11.759 Å, 63.65 81.76 72.50°
Positions (direct):
Mg (0.705, 0.701, 0.487)
Mg (0.982, 0.062, 0.572)
Mg (0.213, 0.187, 0.989)
Mg (0.097, 0.125, 0.276)
Mg (0.591, 0.636, 0.783)
Mg (0.476, 0.573, 0.070)
Ag (0.894, 0.944, 0.868)
Ag (0.795, 0.816, 0.192)
Li (0.391, 0.450, 0.364)
Li (0.297, 0.310, 0.696)

## Properties
For the energy above the most stable polymorph in this dataset, the calculation gives 18 kJ/mol of formula units. Its volume is 19.7 Å³ per atom.

=====

# 2
MnFe2W: optimized geometry, PBE.

Cell: 4.134 4.134 4.134 Å, 60.00 60.00 60.00°
Positions (direct):
Fe (0.250, 0.250, 0.250)
Fe (0.750, 0.750, 0.750)
W (0.500, 0.500, 0.500)
Mn (0.000, 0.000, 0.000)

## Properties
For the energy above the most stable polymorph in this dataset, the calculation gives 1 kJ/mol of formula units. Its volume is 12.5 Å³ per atom.

=====

no.,density (g cm⁻³),final energy (eV per cell)
1,3.16,-20.395
2,11.65,-38.873